VASP calculation (PBE-GGA) on a geometry-optimized Dy3Si2SbPt9 structure.

Computed properties:
**Total moment**: 0.0 μB/cell
**ΔE_f (raw)**: -712 meV per atom
**Electronic total energy**: -93.826 eV/cell

Structure (CIF):
```
data_Dy3Si2SbPt9
_cell_length_a 6.4110
_cell_length_b 6.4110
_cell_length_c 9.1553
_cell_angle_alpha 90.00
_cell_angle_beta 90.00
_cell_angle_gamma 120.00
_space_group_name_H-M_alt 'P -3 m 1'
_space_group_IT_number 164
_space_group_name_Hall '-P 3 2"'
loop_
_atom_site_label
_atom_site_type_symbol
_atom_site_fract_x
_atom_site_fract_y
_atom_site_fract_z
_atom_site_occupancy
Dy1 Dy 0.0000 0.0000 0.0000 1
Dy2 Dy 0.3333 0.6667 0.7429 1
Si1 Si 0.3333 0.6667 0.1761 1
Sb1 Sb 0.0000 0.0000 0.5000 1
Pt1 Pt 0.0000 0.5000 0.0000 1
Pt2 Pt 0.1442 0.2884 0.2672 1
```